Material: ZnSnSbO2
Method: DFT, SCAN
State: single point on PBEsol structure

Total moment (Bohr magnetons per cell): 0.00
Energy relative to the elements, uncorrected (eV per atom): -0.34

abc: 4.0587 4.0587 5.2590
angles: 90.00 90.00 90.00
Closest atoms and distances in Å follow each position.
Atoms (fractional coordinates):
Zn1 0.0000 0.0000 0.0000  2 Sb 2.63, 4 Sn 2.87
Sn1 0.5000 0.5000 0.0000  4 Zn 2.87
Sb1 0.0000 0.0000 0.5000  4 O 2.03
O1 0.0000 0.5000 0.5000  2 Sb 2.03
O2 0.5000 0.0000 0.5000  2 Sb 2.03